## SrZnPbF6 (PBE-GGA)

Data for a relaxed structure of SrZnPbF6.

Computed properties:
**Fermi-level density of states**: 0.0 states/eV per cell
**E**: -4.82 eV per atom
**Crystal system**: trigonal
**Uncorrected formation energy**: -25.48 eV per formula unit

a = 5.970 Å, b = 5.970 Å, c = 10.014 Å
α = 90.00°, β = 90.00°, γ = 120.00°
Atoms (fractional coordinates):
Sr 0.333 0.667 0.250
Sr 0.667 0.333 0.750
Zn 0.333 0.667 0.750
Zn 0.667 0.333 0.250
Pb 0.000 0.000 0.000
Pb 0.000 0.000 0.500
F 0.045 0.371 0.636
F 0.045 0.674 0.864
F 0.326 0.371 0.864
F 0.326 0.955 0.636
F 0.371 0.045 0.136
F 0.371 0.326 0.364
F 0.629 0.674 0.636
F 0.629 0.955 0.864
F 0.674 0.045 0.364
F 0.674 0.629 0.136
F 0.955 0.326 0.136
F 0.955 0.629 0.364